{"formula": "Rb3BaTh2Te6", "functional": "GGA-PBE", "state": "relaxed", "lattice_angstrom": [[10.978, -2.343, 0.000], [10.978, 2.343, 0.000], [-3.261, 0.000, 9.805]], "species": ["Rb", "Rb", "Rb", "Ba", "Th", "Th", "Te", "Te", "Te", "Te", "Te", "Te"], "fractional_positions": [[0.000, 0.000, 0.000], [0.339, 0.339, 0.666], [0.661, 0.661, 0.334], [0.000, 0.000, 0.500], [0.331, 0.331, 0.161], [0.669, 0.669, 0.839], [0.169, 0.169, 0.627], [0.177, 0.177, 0.059], [0.480, 0.480, 0.245], [0.520, 0.520, 0.755], [0.823, 0.823, 0.941], [0.831, 0.831, 0.373]], "e_form_raw_ev_per_fu": -15.441, "spacegroup": "C2/m (12)", "dft_energy_ev_per_atom": -4.50, "volume_a3_per_cell": 504.32, "n_ef_per_ev_atom": 0.48, "crystal_system": "monoclinic", "rho_g_cm3": 5.345}

{"formula": "RbSr2P2", "functional": "GGA-PBE", "state": "relaxed", "lattice_angstrom": [[-2.637, 2.637, 5.999], [2.637, -2.637, 5.999], [2.637, 2.637, -5.999]], "species": ["Rb", "Sr", "Sr", "P", "P"], "fractional_positions": [[0.000, 0.000, 0.000], [0.250, 0.750, 0.500], [0.750, 0.250, 0.500], [0.383, 0.383, 0.000], [0.617, 0.617, 0.000]], "spacegroup": "I4/mmm (139)", "dft_energy_ev_per_atom": -3.54, "volume_a3_per_cell": 166.88, "de_polymorph_mev_per_atom": 156.7, "n_ef_per_ev_atom": 0.67, "crystal_system": "tetragonal", "rho_g_cm3": 3.211}

{"formula": "Fe2CoSe", "functional": "GGA-PBE", "state": "relaxed", "lattice_angstrom": [[2.971, 0.000, 0.000], [0.000, 2.971, 0.000], [0.000, 0.000, 5.792]], "species": ["Fe", "Fe", "Co", "Se"], "fractional_positions": [[0.000, 0.000, 0.239], [0.000, 0.000, 0.761], [0.500, 0.500, 0.000], [0.500, 0.500, 0.500]], "e_form_raw_ev_per_fu": 0.853, "spacegroup": "P4/mmm (123)", "dft_energy_ev_per_atom": -6.67, "volume_a3_per_cell": 51.12, "n_ef_per_ev_atom": 1.06, "crystal_system": "tetragonal", "rho_g_cm3": 8.108}

{"formula": "CuCSCl2", "functional": "GGA-PBE", "state": "relaxed", "lattice_angstrom": [[4.569, 0.000, 0.000], [0.000, 4.569, 0.000], [0.000, 0.000, 4.756]], "species": ["Cu", "C", "S", "Cl", "Cl"], "fractional_positions": [[0.000, 0.000, 0.000], [0.500, 0.500, 0.500], [0.000, 0.000, 0.500], [0.000, 0.500, 0.000], [0.500, 0.000, 0.000]], "e_form_raw_ev_per_fu": 7.511, "spacegroup": "P4/mmm (123)", "dft_energy_ev_per_atom": -2.73, "volume_a3_per_cell": 99.27, "de_polymorph_mev_per_atom": 380.2, "n_ef_per_ev_atom": 0.57, "crystal_system": "tetragonal", "rho_g_cm3": 2.986}